Entry from Alexandria via LeMat-Bulk: Ac2PmHoP4 after structural relaxation (PBE).

```
8
Lattice="4.255 0.000 0.000 0.000 7.380 -0.154 0.000 2.589 6.893" Properties=species:S:1:pos:R:3 pbc="T T T"
Ac 0.000 2.589 6.893
Ac 2.127 1.295 3.447
Pm 2.127 3.690 -0.077
Ho 0.000 4.985 3.370
P 0.000 7.343 5.074
P 4.255 2.627 1.665
P 2.127 6.052 1.686
P 2.127 3.917 5.053
```

Computed properties:
**M_tot**: 0.00 μB/f.u.
**Energy relative to the elements**: -1486 meV/atom